(1)
Compound: Pm8Er6Cd
Source: the Alexandria database
Functional: PBE
Structure: optimized geometry

Formation enthalpy at 0 K (eV per formula unit): 1.533
Symmetry: P-3
Calculated total energy (eV/cell): -64.764

POSCAR file:
```
Pm8Er6Cd
1.0
9.4150 0.0000 0.0000
-4.7075 8.1537 0.0000
0.0000 0.0000 6.3694
Pm Er Cd
8 6 1
direct
0.0428 0.2712 0.3144
0.2284 0.9572 0.3144
0.2712 0.2284 0.6856
0.3333 0.6667 0.3237
0.6667 0.3333 0.6763
0.7288 0.7716 0.3144
0.7716 0.0428 0.6856
0.9572 0.7288 0.6856
0.0974 0.4541 0.8229
0.3567 0.9026 0.8229
0.4541 0.3567 0.1771
0.5459 0.6433 0.8229
0.6433 0.0974 0.1771
0.9026 0.5459 0.1771
0.0000 0.0000 0.0000
```

=====

(2)
Compound: PmEr2Cd4
Source: the Alexandria database
Functional: PBE
Structure: optimized geometry

Formation enthalpy at 0 K (eV per formula unit): -1.009
Symmetry: I4/mmm
Calculated total energy (eV/cell): -18.546

POSCAR file:
```
PmEr2Cd4
1.0
-2.6694 2.6694 6.9496
2.6694 -2.6694 6.9496
2.6694 2.6694 -6.9496
Pm Er Cd
1 2 4
direct
0.0000 0.0000 0.0000
0.2586 0.2586 0.0000
0.7414 0.7414 0.0000
0.1197 0.6197 0.5000
0.3803 0.8803 0.5000
0.6197 0.1197 0.5000
0.8803 0.3803 0.5000
```

=====

- What is the formula in the first record?
  Pm8Er6Cd

=====

- Look up the formation enthalpy at 0 K of the first one.
  1.533 eV per formula unit

=====

- Number 2 is which compound?
  PmEr2Cd4